DFT (PBE-GGA) results for a geometry-optimized DyEr4Cu4 structure.

Output
symmetry	No. 86
formation energy from the elements	-44	meV per atom

Cell and atoms, written as POSCAR:
```
DyEr4Cu4
1.0
5.7440 0.0000 0.0000
0.0000 8.6700 0.0000
0.0000 0.0000 8.6700
Er Cu Dy
8 8 2
Cartesian
3.4355 7.9101 5.9631 Er
3.4355 0.7599 2.7069 Er
0.5635 7.0419 3.5751 Er
2.3086 5.9631 0.7599 Er
0.5635 1.6281 5.0949 Er
5.1806 5.0949 7.0419 Er
2.3086 2.7069 7.9101 Er
5.1806 3.5751 1.6281 Er
0.6659 1.1482 2.3865 Cu
5.0782 2.3865 7.5217 Cu
0.6659 7.5217 6.2834 Cu
2.2062 5.4832 6.7215 Cu
2.2062 3.1868 1.9485 Cu
5.0782 6.2834 1.1482 Cu
3.5379 1.9485 5.4832 Cu
3.5379 6.7215 3.1868 Cu
0.0000 0.0000 0.0000 Dy
2.8720 4.3350 4.3350 Dy
```



DFT (PBE-GGA) results for a geometry-optimized Dy2ErCu9 structure.

Output
symmetry	No. 166
formation energy from the elements	-204	meV per atom

Cell and atoms, written as POSCAR:
```
Dy2ErCu9
1.0
-1.3011 -4.0151 2.9205
2.9124 -4.2262 -0.0026
5.0513 0.3600 7.2554
Er Cu Dy
1 9 2
Cartesian
0.0000 0.0000 0.0000 Er
0.5495 -2.7386 0.9898 Cu
1.9124 -3.3591 2.9993 Cu
6.1132 -5.1426 9.1835 Cu
3.3683 -5.4718 2.9980 Cu
4.7503 -4.5220 7.1741 Cu
1.2619 -5.3663 4.4592 Cu
3.3313 -3.9406 5.0867 Cu
3.2943 -2.4093 7.1753 Cu
5.4007 -2.5149 5.7141 Cu
3.5151 -6.9308 5.5676 Dy
3.1475 -0.9503 4.6058 Dy
```



DFT (PBE-GGA) results for a geometry-optimized Dy2Er5Cu4 structure.

Output
symmetry	No. 12
formation energy from the elements	-16	meV per atom

Cell and atoms, written as POSCAR:
```
Dy2Er5Cu4
1.0
3.5621 0.0000 0.0000
0.0000 6.5950 -1.1486
-1.7811 -3.8727 12.4535
Er Cu Dy
5 4 2
Cartesian
0.0000 1.4270 2.8221 Er
0.0000 4.6736 1.6011 Er
1.7811 1.2953 8.4828 Er
1.7811 0.0000 0.0000 Er
1.7811 -1.9513 9.7039 Er
0.0000 2.2492 0.0822 Cu
1.7811 3.4435 3.6032 Cu
0.0000 -0.7213 7.7018 Cu
1.7811 0.4731 11.2227 Cu
1.7811 -0.2929 5.3872 Dy
0.0000 3.0152 5.9177 Dy
```



DFT (PBE-GGA) results for a geometry-optimized Dy2ErCu2 structure.

Output
symmetry	No. 11
formation energy from the elements	-173	meV per atom
distance to the lowest polymorph of the same formula	0	meV per atom

Cell and atoms, written as POSCAR:
```
Dy2ErCu2
1.0
3.4602 0.0000 -0.4630
0.0000 5.0316 0.0000
-0.0104 0.0000 13.0526
Cu Dy Er
4 4 2
Cartesian
1.5573 3.7737 11.6207 Cu
1.2346 1.2579 9.2310 Cu
1.8926 1.2579 0.9689 Cu
2.2152 3.7737 3.3586 Cu
2.6579 1.2579 6.6962 Dy
3.2879 1.2579 11.3910 Dy
0.7920 3.7737 5.8935 Dy
0.1619 3.7737 1.1987 Dy
0.4879 1.2579 3.6224 Er
2.9620 3.7737 8.9673 Er
```



DFT (PBE-GGA) results for a geometry-optimized DyEr2Cu structure.

Output
symmetry	No. 166
formation energy from the elements	25	meV per atom
distance to the lowest polymorph of the same formula	141	meV per atom

Cell and atoms, written as POSCAR:
```
DyEr2Cu
1.0
3.5545 0.0000 0.0000
1.7773 3.0783 0.0000
1.7773 1.0261 9.8201
Er Cu Dy
2 1 1
Cartesian
1.7773 1.0261 2.0060 Er
5.3318 3.0783 7.8141 Er
0.0000 0.0000 0.0000 Cu
3.5545 2.0522 4.9100 Dy
```



DFT (PBE-GGA) results for a geometry-optimized Dy2ErGa2Cu2 structure.

Output
symmetry	No. 166
formation energy from the elements	-398	meV per atom

Cell and atoms, written as POSCAR:
```
Dy2ErGa2Cu2
1.0
4.3567 0.0000 0.0000
2.1784 3.7730 0.0000
2.1784 1.2577 9.1405
Dy Cu Ga Er
2 2 2 1
Cartesian
6.5351 3.7730 3.3825 Dy
2.1784 1.2577 5.7580 Dy
4.3567 2.5154 1.7160 Cu
4.3567 2.5154 7.4245 Cu
6.5351 3.7730 7.2693 Ga
2.1784 1.2577 1.8712 Ga
0.0000 0.0000 0.0000 Er
```



DFT (PBE-GGA) results for a geometry-optimized Dy2Er2Ga4Cu structure.

Output
symmetry	No. 139
formation energy from the elements	-319	meV per atom

Cell and atoms, written as POSCAR:
```
Dy2Er2Ga4Cu
1.0
6.4756 0.1705 0.2460
-2.9589 5.7626 -0.2460
-2.9589 -2.2550 5.3088
Dy Ga Er Cu
2 4 2 1
Cartesian
-1.8279 1.0835 1.5639 Dy
-4.0898 2.4241 3.4989 Dy
-2.9589 -0.3165 3.9657 Ga
-1.1427 2.7476 3.9657 Ga
-2.9589 3.8241 1.0970 Ga
1.7006 0.9305 1.3431 Ga
0.2789 3.8434 1.2657 Er
0.2789 -0.1653 4.0431 Er
0.0000 0.0000 0.0000 Cu
```



DFT (PBE-GGA) results for a geometry-optimized DyEr2Cu2Ge2 structure.

Output
symmetry	No. 166
formation energy from the elements	-490	meV per atom

Cell and atoms, written as POSCAR:
```
DyEr2Cu2Ge2
1.0
-0.7640 -3.2757 -2.4844
3.1087 -1.7235 -2.2027
2.7234 -7.8926 6.0498
Ge Cu Er Dy
2 2 2 1
Cartesian
1.1554 -2.8650 -0.0969 Ge
3.9126 -10.0269 1.4597 Ge
3.1499 -8.4208 3.0958 Cu
1.9181 -4.4711 -1.7331 Cu
3.0566 -7.2820 -1.8962 Er
2.0114 -5.6099 3.2590 Er
0.0000 0.0000 0.0000 Dy
```



- The lowest formation energy from the elements belongs to which entry?
  DyEr2Cu2Ge2



- Which value of formation energy from the elements does entry 3 give?
  -16 meV per atom